(1)
# YPaNO (PBE-GGA, relaxed)
data_YPaNO
_chemical_formula_sum 'Y2 Pa2 N2 O2'
_symmetry_space_group_name_H-M 'P 1'
_symmetry_Int_Tables_number 1
_cell_length_a 3.934
_cell_length_b 5.076
_cell_length_c 7.102
_cell_angle_alpha 90.00
_cell_angle_beta 90.00
_cell_angle_gamma 90.00
loop_
_symmetry_equiv_pos_as_xyz
'x,y,z'
loop_
_atom_site_label
_atom_site_fract_x
_atom_site_fract_y
_atom_site_fract_z
N1 0.000 0.939 0.339
N2 0.000 0.439 0.661
O1 0.500 0.437 0.185
O2 0.500 0.937 0.815
Pa1 0.500 0.938 0.155
Pa2 0.500 0.438 0.845
Y1 0.000 0.439 0.337
Y2 0.000 0.939 0.663
# - M_tot (μB/cell) = 2.64
# - energy above the most stable polymorph in this dataset (meV/atom) = 0
# - space group = Pmc2_1 (26)

---

(2)
# Hf4BiSbN2 (PBE-GGA, relaxed)
data_Hf4BiSbN2
_chemical_formula_sum 'Hf4 Bi1 Sb1 N2'
_symmetry_space_group_name_H-M 'P 1'
_symmetry_Int_Tables_number 1
_cell_length_a 3.436
_cell_length_b 3.436
_cell_length_c 13.487
_cell_angle_alpha 90.00
_cell_angle_beta 90.00
_cell_angle_gamma 120.00
loop_
_symmetry_equiv_pos_as_xyz
'x,y,z'
loop_
_atom_site_label
_atom_site_fract_x
_atom_site_fract_y
_atom_site_fract_z
Bi1 0.000 0.000 0.000
Hf1 0.667 0.333 0.172
Hf2 0.000 0.000 0.339
Hf3 0.000 0.000 0.661
Hf4 0.667 0.333 0.828
N1 0.333 0.667 0.255
N2 0.333 0.667 0.745
Sb1 0.667 0.333 0.500
# - M_tot (μB/cell) = 0.00
# - space group = P-6m2 (187)
# - E_tot (eV/atom) = -8.984

---

(3)
# BeRe2Ni (PBE-GGA, relaxed)
data_BeRe2Ni
_chemical_formula_sum 'Be1 Re2 Ni1'
_symmetry_space_group_name_H-M 'P 1'
_symmetry_Int_Tables_number 1
_cell_length_a 4.158
_cell_length_b 4.158
_cell_length_c 4.158
_cell_angle_alpha 60.00
_cell_angle_beta 60.00
_cell_angle_gamma 60.00
loop_
_symmetry_equiv_pos_as_xyz
'x,y,z'
loop_
_atom_site_label
_atom_site_fract_x
_atom_site_fract_y
_atom_site_fract_z
Be1 0.500 0.500 0.500
Ni1 0.250 0.250 0.250
Re1 0.000 0.000 0.000
Re2 0.750 0.750 0.750
# - M_tot (μB/cell) = 0.41
# - space group = F-43m (216)
# - E_tot (eV/atom) = -8.455

---

(4)
# Nd2WC2 (PBE-GGA, relaxed)
data_Nd2WC2
_chemical_formula_sum 'Nd8 W4 C8'
_symmetry_space_group_name_H-M 'P 1'
_symmetry_Int_Tables_number 1
_cell_length_a 5.826
_cell_length_b 5.826
_cell_length_c 10.393
_cell_angle_alpha 90.00
_cell_angle_beta 90.00
_cell_angle_gamma 90.00
loop_
_symmetry_equiv_pos_as_xyz
'x,y,z'
loop_
_atom_site_label
_atom_site_fract_x
_atom_site_fract_y
_atom_site_fract_z
C1 0.500 0.000 0.000
C2 0.000 0.500 0.000
C3 0.000 0.000 0.143
C4 0.500 0.500 0.357
C5 0.500 0.000 0.500
C6 0.000 0.500 0.500
C7 0.500 0.500 0.643
C8 0.000 0.000 0.857
Nd1 0.697 0.303 0.157
Nd2 0.303 0.697 0.157
Nd3 0.197 0.197 0.343
Nd4 0.803 0.803 0.343
Nd5 0.197 0.197 0.657
Nd6 0.803 0.803 0.657
Nd7 0.697 0.303 0.843
Nd8 0.303 0.697 0.843
W1 0.177 0.177 0.000
W2 0.823 0.823 0.000
W3 0.677 0.323 0.500
W4 0.323 0.677 0.500
# - M_tot (μB/cell) = 0.01
# - space group = P4_2/mnm (136)
# - E_tot (eV/atom) = -8.389

---

(5)
# PrPaNi (PBE-GGA, relaxed)
data_PrPaNi
_chemical_formula_sum 'Pr1 Pa1 Ni1'
_symmetry_space_group_name_H-M 'P 1'
_symmetry_Int_Tables_number 1
_cell_length_a 4.709
_cell_length_b 4.709
_cell_length_c 4.709
_cell_angle_alpha 60.00
_cell_angle_beta 60.00
_cell_angle_gamma 60.00
loop_
_symmetry_equiv_pos_as_xyz
'x,y,z'
loop_
_atom_site_label
_atom_site_fract_x
_atom_site_fract_y
_atom_site_fract_z
Ni1 0.000 0.000 0.000
Pa1 0.250 0.250 0.250
Pr1 0.750 0.750 0.750
# - M_tot (μB/cell) = 0.01
# - space group = F-43m (216)
# - E_tot (eV/atom) = -6.336

---

(6)
# GdDy2Tl2Zn3Cd (PBE-GGA, relaxed)
data_GdDy2Tl2Zn3Cd
_chemical_formula_sum 'Gd1 Dy2 Tl2 Zn3 Cd1'
_symmetry_space_group_name_H-M 'P 1'
_symmetry_Int_Tables_number 1
_cell_length_a 4.548
_cell_length_b 7.266
_cell_length_c 7.266
_cell_angle_alpha 120.25
_cell_angle_beta 90.00
_cell_angle_gamma 90.00
loop_
_symmetry_equiv_pos_as_xyz
'x,y,z'
loop_
_atom_site_label
_atom_site_fract_x
_atom_site_fract_y
_atom_site_fract_z
Cd1 0.000 0.002 0.002
Dy1 0.000 0.999 0.427
Dy2 0.000 0.427 0.999
Gd1 0.000 0.572 0.572
Tl1 0.500 0.667 0.332
Tl2 0.500 0.332 0.667
Zn1 0.500 0.231 0.231
Zn2 0.500 0.000 0.770
Zn3 0.500 0.770 0.000
# - M_tot (μB/cell) = 0.01
# - space group = Amm2 (38)
# - E_tot (eV/atom) = -2.892

---

(7)
# La2Sm2CI3Cl2 (PBE-GGA, relaxed)
data_La2Sm2CI3Cl2
_chemical_formula_sum 'La2 Sm2 C1 I3 Cl2'
_symmetry_space_group_name_H-M 'P 1'
_symmetry_Int_Tables_number 1
_cell_length_a 9.672
_cell_length_b 9.672
_cell_length_c 8.968
_cell_angle_alpha 100.31
_cell_angle_beta 100.31
_cell_angle_gamma 24.24
loop_
_symmetry_equiv_pos_as_xyz
'x,y,z'
loop_
_atom_site_label
_atom_site_fract_x
_atom_site_fract_y
_atom_site_fract_z
C1 0.500 0.500 0.000
Cl1 0.154 0.154 0.283
Cl2 0.846 0.846 0.717
I1 0.823 0.823 0.177
I2 0.500 0.500 0.500
I3 0.177 0.177 0.823
La1 0.998 0.998 0.197
La2 0.002 0.002 0.803
Sm1 0.634 0.634 0.063
Sm2 0.366 0.366 0.937
# - M_tot (μB/cell) = 0.26
# - space group = C2/m (12)
# - E_tot (eV/atom) = -5.059

---

(8)
# KFe4P2 (PBE-GGA, relaxed)
data_KFe4P2
_chemical_formula_sum 'K1 Fe4 P2'
_symmetry_space_group_name_H-M 'P 1'
_symmetry_Int_Tables_number 1
_cell_length_a 8.700
_cell_length_b 8.700
_cell_length_c 8.700
_cell_angle_alpha 25.90
_cell_angle_beta 25.90
_cell_angle_gamma 25.90
loop_
_symmetry_equiv_pos_as_xyz
'x,y,z'
loop_
_atom_site_label
_atom_site_fract_x
_atom_site_fract_y
_atom_site_fract_z
Fe1 0.146 0.146 0.146
Fe2 0.451 0.451 0.451
Fe3 0.549 0.549 0.549
Fe4 0.854 0.854 0.854
K1 0.000 0.000 0.000
P1 0.238 0.238 0.238
P2 0.762 0.762 0.762
# - M_tot (μB/cell) = 7.10
# - space group = R-3m (166)
# - E_tot (eV/atom) = -6.732

---

(9)
# HfNbAlCo (PBE-GGA, relaxed)
data_HfNbAlCo
_chemical_formula_sum 'Hf1 Nb1 Al1 Co1'
_symmetry_space_group_name_H-M 'P 1'
_symmetry_Int_Tables_number 1
_cell_length_a 4.518
_cell_length_b 4.518
_cell_length_c 4.518
_cell_angle_alpha 60.00
_cell_angle_beta 60.00
_cell_angle_gamma 60.00
loop_
_symmetry_equiv_pos_as_xyz
'x,y,z'
loop_
_atom_site_label
_atom_site_fract_x
_atom_site_fract_y
_atom_site_fract_z
Al1 0.000 0.000 0.000
Co1 0.750 0.750 0.750
Hf1 0.500 0.500 0.500
Nb1 0.250 0.250 0.250
# - M_tot (μB/cell) = 2.96
# - energy above the most stable polymorph in this dataset (meV/atom) = 0
# - space group = F-43m (216)

---

(10)
# Hf6FeSb2 (PBE-GGA, relaxed)
data_Hf6FeSb2
_chemical_formula_sum 'Hf6 Fe1 Sb2'
_symmetry_space_group_name_H-M 'P 1'
_symmetry_Int_Tables_number 1
_cell_length_a 7.747
_cell_length_b 3.567
_cell_length_c 7.747
_cell_angle_alpha 90.00
_cell_angle_beta 120.00
_cell_angle_gamma 90.00
loop_
_symmetry_equiv_pos_as_xyz
'x,y,z'
loop_
_atom_site_label
_atom_site_fract_x
_atom_site_fract_y
_atom_site_fract_z
Fe1 0.000 0.000 0.000
Hf1 0.394 0.000 0.000
Hf2 0.761 0.500 0.000
Hf3 0.239 0.500 0.239
Hf4 0.000 0.000 0.394
Hf5 0.606 0.000 0.606
Hf6 0.000 0.500 0.761
Sb1 0.667 0.500 0.333
Sb2 0.333 0.500 0.667
# - M_tot (μB/cell) = 0.02
# - space group = P-62m (189)
# - E_tot (eV/atom) = -8.920

---

(11)
# Pr2GdO4 (PBE-GGA, relaxed)
data_Pr2GdO4
_chemical_formula_sum 'Pr4 Gd2 O8'
_symmetry_space_group_name_H-M 'P 1'
_symmetry_Int_Tables_number 1
_cell_length_a 7.035
_cell_length_b 7.035
_cell_length_c 7.035
_cell_angle_alpha 120.00
_cell_angle_beta 90.00
_cell_angle_gamma 120.00
loop_
_symmetry_equiv_pos_as_xyz
'x,y,z'
loop_
_atom_site_label
_atom_site_fract_x
_atom_site_fract_y
_atom_site_fract_z
Gd1 0.000 0.000 0.000
Gd2 0.750 0.500 0.250
O1 0.623 0.246 0.377
O2 0.131 0.754 0.377
O3 0.623 0.754 0.377
O4 0.127 0.254 0.381
O5 0.623 0.246 0.869
O6 0.127 0.746 0.873
O7 0.127 0.254 0.873
O8 0.619 0.746 0.873
Pr1 0.375 0.750 0.125
Pr2 0.375 0.750 0.625
Pr3 0.375 0.250 0.625
Pr4 0.875 0.250 0.625
# - M_tot (μB/cell) = 0.13
# - space group = Fd-3m (227)
# - E_tot (eV/atom) = -7.914

---

(12)
# DyTlGeTe3 (PBE-GGA, relaxed)
data_DyTlGeTe3
_chemical_formula_sum 'Dy2 Tl2 Ge2 Te6'
_symmetry_space_group_name_H-M 'P 1'
_symmetry_Int_Tables_number 1
_cell_length_a 7.910
_cell_length_b 7.910
_cell_length_c 11.740
_cell_angle_alpha 90.00
_cell_angle_beta 90.00
_cell_angle_gamma 145.97
loop_
_symmetry_equiv_pos_as_xyz
'x,y,z'
loop_
_atom_site_label
_atom_site_fract_x
_atom_site_fract_y
_atom_site_fract_z
Dy1 0.500 0.500 0.000
Dy2 0.500 0.500 0.500
Ge1 0.966 0.034 0.250
Ge2 0.034 0.966 0.750
Te1 0.863 0.137 0.047
Te2 0.578 0.422 0.250
Te3 0.863 0.137 0.453
Te4 0.137 0.863 0.547
Te5 0.422 0.578 0.750
Te6 0.137 0.863 0.953
Tl1 0.250 0.750 0.250
Tl2 0.750 0.250 0.750
# - M_tot (μB/cell) = 0.00
# - space group = Cmcm (63)
# - E_tot (eV/atom) = -4.114

---

(13)
# NaScNiGe (PBE-GGA, relaxed)
data_NaScNiGe
_chemical_formula_sum 'Na1 Sc1 Ni1 Ge1'
_symmetry_space_group_name_H-M 'P 1'
_symmetry_Int_Tables_number 1
_cell_length_a 4.617
_cell_length_b 4.617
_cell_length_c 4.617
_cell_angle_alpha 60.00
_cell_angle_beta 60.00
_cell_angle_gamma 60.00
loop_
_symmetry_equiv_pos_as_xyz
'x,y,z'
loop_
_atom_site_label
_atom_site_fract_x
_atom_site_fract_y
_atom_site_fract_z
Ge1 0.000 0.000 0.000
Na1 0.750 0.750 0.750
Ni1 0.500 0.500 0.500
Sc1 0.250 0.250 0.250
# - M_tot (μB/cell) = 0.01
# - energy above the most stable polymorph in this dataset (meV/atom) = 117
# - space group = F-43m (216)

---

(14)
# PmGaB4 (PBE-GGA, relaxed)
data_PmGaB4
_chemical_formula_sum 'Pm1 Ga1 B4'
_symmetry_space_group_name_H-M 'P 1'
_symmetry_Int_Tables_number 1
_cell_length_a 3.153
_cell_length_b 3.153
_cell_length_c 7.617
_cell_angle_alpha 90.00
_cell_angle_beta 90.00
_cell_angle_gamma 120.00
loop_
_symmetry_equiv_pos_as_xyz
'x,y,z'
loop_
_atom_site_label
_atom_site_fract_x
_atom_site_fract_y
_atom_site_fract_z
B1 0.667 0.333 0.219
B2 0.333 0.667 0.219
B3 0.667 0.333 0.781
B4 0.333 0.667 0.781
Ga1 0.000 0.000 0.000
Pm1 0.000 0.000 0.500
# - M_tot (μB/cell) = 0.00
# - energy above the most stable polymorph in this dataset (meV/atom) = 138
# - space group = P6/mmm (191)

---

(15)
# AlTl2AgF6 (PBE-GGA, relaxed)
data_AlTl2AgF6
_chemical_formula_sum 'Al1 Tl2 Ag1 F6'
_symmetry_space_group_name_H-M 'P 1'
_symmetry_Int_Tables_number 1
_cell_length_a 5.918
_cell_length_b 5.918
_cell_length_c 5.918
_cell_angle_alpha 120.00
_cell_angle_beta 120.00
_cell_angle_gamma 60.00
loop_
_symmetry_equiv_pos_as_xyz
'x,y,z'
loop_
_atom_site_label
_atom_site_fract_x
_atom_site_fract_y
_atom_site_fract_z
Ag1 0.000 0.000 0.000
Al1 0.500 0.500 0.500
F1 0.284 0.284 0.284
F2 0.716 0.284 0.284
F3 0.284 0.716 0.284
F4 0.716 0.284 0.716
F5 0.284 0.716 0.716
F6 0.716 0.716 0.716
Tl1 0.750 0.750 0.250
Tl2 0.250 0.250 0.750
# - space group = Fm-3m (225)
# - E_tot (eV/atom) = -4.602

---

(16)
# ScBeInCu (PBE-GGA, relaxed)
data_ScBeInCu
_chemical_formula_sum 'Sc1 Be1 In1 Cu1'
_symmetry_space_group_name_H-M 'P 1'
_symmetry_Int_Tables_number 1
_cell_length_a 4.478
_cell_length_b 4.478
_cell_length_c 4.478
_cell_angle_alpha 60.00
_cell_angle_beta 60.00
_cell_angle_gamma 60.00
loop_
_symmetry_equiv_pos_as_xyz
'x,y,z'
loop_
_atom_site_label
_atom_site_fract_x
_atom_site_fract_y
_atom_site_fract_z
Be1 0.000 0.000 0.000
Cu1 0.500 0.500 0.500
In1 0.250 0.250 0.250
Sc1 0.750 0.750 0.750
# - M_tot (μB/cell) = 0.00
# - energy above the most stable polymorph in this dataset (meV/atom) = 0
# - space group = F-43m (216)

---

(17)
# ScMo3Se (PBE-GGA, relaxed)
data_ScMo3Se
_chemical_formula_sum 'Sc1 Mo3 Se1'
_symmetry_space_group_name_H-M 'P 1'
_symmetry_Int_Tables_number 1
_cell_length_a 4.627
_cell_length_b 4.627
_cell_length_c 4.627
_cell_angle_alpha 90.00
_cell_angle_beta 90.00
_cell_angle_gamma 90.00
loop_
_symmetry_equiv_pos_as_xyz
'x,y,z'
loop_
_atom_site_label
_atom_site_fract_x
_atom_site_fract_y
_atom_site_fract_z
Mo1 0.500 0.500 0.000
Mo2 0.500 0.000 0.500
Mo3 0.000 0.500 0.500
Sc1 0.000 0.000 0.000
Se1 0.500 0.500 0.500
# - M_tot (μB/cell) = 0.01
# - space group = Pm-3m (221)
# - E_tot (eV/atom) = -7.732

---

(18)
# TbYTa2Sn2 (PBE-GGA, relaxed)
data_TbYTa2Sn2
_chemical_formula_sum 'Tb1 Y1 Ta2 Sn2'
_symmetry_space_group_name_H-M 'P 1'
_symmetry_Int_Tables_number 1
_cell_length_a 4.199
_cell_length_b 4.199
_cell_length_c 8.150
_cell_angle_alpha 90.00
_cell_angle_beta 90.00
_cell_angle_gamma 90.00
loop_
_symmetry_equiv_pos_as_xyz
'x,y,z'
loop_
_atom_site_label
_atom_site_fract_x
_atom_site_fract_y
_atom_site_fract_z
Sn1 0.500 0.500 0.252
Sn2 0.000 0.000 0.747
Ta1 0.500 0.000 0.000
Ta2 0.000 0.500 0.000
Tb1 0.000 0.000 0.348
Y1 0.500 0.500 0.652
# - M_tot (μB/cell) = 0.94
# - space group = P4mm (99)
# - E_tot (eV/atom) = -7.517

---

(19)
# TlMo4AuN2 (PBE-GGA, relaxed)
data_TlMo4AuN2
_chemical_formula_sum 'Tl1 Mo4 Au1 N2'
_symmetry_space_group_name_H-M 'P 1'
_symmetry_Int_Tables_number 1
_cell_length_a 3.249
_cell_length_b 3.249
_cell_length_c 13.023
_cell_angle_alpha 90.00
_cell_angle_beta 90.00
_cell_angle_gamma 120.00
loop_
_symmetry_equiv_pos_as_xyz
'x,y,z'
loop_
_atom_site_label
_atom_site_fract_x
_atom_site_fract_y
_atom_site_fract_z
Au1 0.333 0.667 0.500
Mo1 0.333 0.667 0.182
Mo2 0.667 0.333 0.333
Mo3 0.667 0.333 0.667
Mo4 0.333 0.667 0.818
N1 0.000 0.000 0.262
N2 0.000 0.000 0.738
Tl1 0.667 0.333 0.000
# - M_tot (μB/cell) = 0.09
# - space group = P-6m2 (187)
# - E_tot (eV/atom) = -8.117

---

(20)
# CsRbPr2P2 (PBE-GGA, relaxed)
data_CsRbPr2P2
_chemical_formula_sum 'Cs1 Rb1 Pr2 P2'
_symmetry_space_group_name_H-M 'P 1'
_symmetry_Int_Tables_number 1
_cell_length_a 5.308
_cell_length_b 5.308
_cell_length_c 7.922
_cell_angle_alpha 90.00
_cell_angle_beta 90.00
_cell_angle_gamma 90.00
loop_
_symmetry_equiv_pos_as_xyz
'x,y,z'
loop_
_atom_site_label
_atom_site_fract_x
_atom_site_fract_y
_atom_site_fract_z
Cs1 0.000 0.000 0.387
P1 0.500 0.500 0.162
P2 0.000 0.000 0.846
Pr1 0.500 0.000 0.997
Pr2 0.000 0.500 0.997
Rb1 0.500 0.500 0.612
# - M_tot (μB/cell) = 0.03
# - space group = P4mm (99)
# - E_tot (eV/atom) = -4.352